(1)
First-principles (GGA-PBE) data for a relaxed structure of LiZrGa, as listed in the Alexandria database. Values from VASP.

Results
size of the total moment: 0.69 μB per formula unit
N(E_F): 0.54 states/eV per atom
energy of formation: -0.283 eV per atom
total energy: -28.68 eV for the cell shown
excess energy over the best structure of this formula in the dataset: 0.069 eV per atom

Cell and atoms, written as Quantum ESPRESSO input:
```
&SYSTEM
  ibrav = 0, nat = 6, ntyp = 3
/
ATOMIC_SPECIES
Li 6.94 Li.upf
Zr 91.22 Zr.upf
Ga 69.72 Ga.upf
ATOMIC_POSITIONS angstrom
Li -2.877 -0.594 2.277
Li -1.572 1.435 1.800
Zr -3.009 -4.311 5.125
Zr -3.215 1.641 4.516
Ga -3.112 -1.335 4.821
Ga -1.540 -2.770 3.021
CELL_PARAMETERS angstrom
-3.143 2.870 3.599
-2.611 -4.058 0.954
-0.470 -1.482 5.088
```

=====

(2)
First-principles (GGA-PBE) data for a relaxed structure of LiZrGa, as listed in the Alexandria database. Values from VASP.

Results
size of the total moment: 0.00 μB per formula unit
N(E_F): 0.47 states/eV per atom
energy of formation: -0.269 eV per atom
total energy: -28.59 eV for the cell shown
excess energy over the best structure of this formula in the dataset: 0.083 eV per atom

Cell and atoms, written as Quantum ESPRESSO input:
```
&SYSTEM
  ibrav = 0, nat = 6, ntyp = 3
/
ATOMIC_SPECIES
Ga 69.72 Ga.upf
Li 6.94 Li.upf
Zr 91.22 Zr.upf
ATOMIC_POSITIONS angstrom
Ga 0.000 2.230 -3.333
Ga 0.000 2.230 5.523
Li 1.839 2.230 -1.200
Li 0.000 2.230 0.796
Zr 1.839 2.230 3.323
Zr 1.839 2.230 -5.518
CELL_PARAMETERS angstrom
3.678 0.000 0.000
0.000 2.230 -6.603
0.000 2.230 6.603
```

=====

(3)
First-principles (GGA-PBE) data for a relaxed structure of LiZrGa, as listed in the Alexandria database. Values from VASP.

Results
size of the total moment: 0.00 μB per formula unit
N(E_F): 0.17 states/eV per atom
energy of formation: -0.352 eV per atom
total energy: -29.09 eV for the cell shown
excess energy over the best structure of this formula in the dataset: 0.000 eV per atom

Cell and atoms, written as Quantum ESPRESSO input:
```
&SYSTEM
  ibrav = 0, nat = 6, ntyp = 3
/
ATOMIC_SPECIES
Ga 69.72 Ga.upf
Zr 91.22 Zr.upf
Li 6.94 Li.upf
ATOMIC_POSITIONS angstrom
Ga 1.368 2.370 4.205
Ga 2.737 0.000 1.402
Zr 1.368 2.370 1.402
Zr 2.737 0.000 4.205
Li 0.000 0.000 0.000
Li 0.000 0.000 2.804
CELL_PARAMETERS angstrom
4.105 -2.370 0.000
0.000 4.740 0.000
0.000 0.000 5.607
```